# HoTmTlCo

An optimized crystal structure of HoTmTlCo (GGA-PBE, the Alexandria database).

* symmetry: No. 99
* offset from the most stable computed form: 0.0 meV per atom
* energy: -4.900 eV per atom
* theoretical density: 11.01 Mg/m³

Cell lengths 3.366, 3.366, 7.948 Å; angles 90.00, 90.00, 90.00 degrees
Each line ends with the local moment (μB).
Positions (direct):
Ho  0.500  0.500  0.774  -0.10
Tm  0.500  0.500  0.369  -0.10
Tl  0.000  0.000  0.074  0.01
Co  0.000  0.000  0.568  0.60


# HoTmTlCo

An optimized crystal structure of HoTmTlCo (GGA-PBE, the Alexandria database).

* symmetry: No. 216
* offset from the most stable computed form: 136.3 meV per atom
* energy: -4.764 eV per atom
* theoretical density: 10.84 Mg/m³

Cell lengths 5.058, 5.058, 5.058 Å; angles 60.00, 60.00, 60.00 degrees
Each line ends with the local moment (μB).
Positions (direct):
Tl  0.750  0.750  0.750  0.04
Tm  0.500  0.500  0.500  -0.11
Co  0.250  0.250  0.250  1.44
Ho  0.000  0.000  0.000  -0.10


# YHoTlCo

An optimized crystal structure of YHoTlCo (GGA-PBE, the Alexandria database).

* symmetry: No. 216
* energy: -5.263 eV per atom
* theoretical density: 9.15 Mg/m³

Cell lengths 5.101, 5.101, 5.101 Å; angles 60.00, 60.00, 60.00 degrees
Each line ends with the local moment (μB).
Positions (direct):
Y  0.500  0.500  0.500  -0.09
Tl  0.750  0.750  0.750  0.04
Co  0.250  0.250  0.250  1.48
Ho  0.000  0.000  0.000  -0.11


Number 1: DFT formation energy -0.2695 eV per atom. Number 2: DFT formation energy -0.1332 eV per atom. Number 3: DFT formation energy -0.1349 eV per atom.